# 1
# AcHoPd4

A relaxed structure of AcHoPd4 (PBE, the Alexandria database).

```
12
Lattice="4.212 0.000 -0.864 0.000 5.818 0.000 -0.064 0.000 10.391" Properties=species:S:1:pos:R:3 pbc="T T T"
Ac 2.996 1.455 3.907
Ac 1.152 4.364 5.620
Ho 1.748 1.455 8.525
Ho 2.400 4.364 1.003
Pd 0.000 0.000 0.000
Pd 0.000 2.909 0.000
Pd 0.572 0.015 2.791
Pd 3.576 2.924 6.737
Pd 0.572 2.894 2.791
Pd 3.576 5.804 6.737
Pd 2.386 1.455 0.935
Pd 1.762 4.364 8.593
```

Output
Relative energy among the computed polymorphs: 0 meV/atom

# 2
# ZnGa3Ag5

A relaxed structure of ZnGa3Ag5 (PBE, the Alexandria database).

```
18
Lattice="-1.937 -4.187 6.380 7.466 0.319 2.476 -3.866 6.588 -1.708" Properties=species:S:1:pos:R:3 pbc="T T T"
Zn -1.519 0.234 4.550
Zn 3.183 2.487 2.598
Ga -0.358 -2.520 4.168
Ga 5.887 -1.347 4.688
Ga 2.835 -3.529 7.187
Ga 2.695 -0.338 1.669
Ga -0.551 2.327 1.360
Ga 2.214 0.394 5.788
Ag 1.274 4.734 0.595
Ag -2.893 2.107 3.403
Ag -2.646 4.170 -0.026
Ag 1.028 2.672 4.024
Ag 0.390 -2.013 6.553
Ag 4.557 0.613 3.745
Ag 4.310 -1.449 7.174
Ag 0.636 0.049 3.124
Ag 2.765 -1.934 4.428
Ag 0.000 0.000 0.000
```

Output
Energy: -46.62 eV per cell

# 3
# YZrAl2

A relaxed structure of YZrAl2 (PBE, the Alexandria database).

```
4
Lattice="3.188 0.000 0.000 0.000 3.188 0.000 0.000 0.000 8.332" Properties=species:S:1:pos:R:3 pbc="T T T"
Y 1.594 1.594 2.083
Al 0.000 0.000 8.210
Al 0.000 0.000 4.288
Zr 1.594 1.594 6.249
```

Output
Relative energy among the computed polymorphs: 4 meV/atom

# 4
# RbAlCuBi2

A relaxed structure of RbAlCuBi2 (PBE, the Alexandria database).

```
5
Lattice="-2.601 2.268 4.186 -5.694 -0.031 -3.521 -1.173 -4.929 1.941" Properties=species:S:1:pos:R:3 pbc="T T T"
Cu -4.734 -1.346 1.303
Bi -0.587 -2.464 0.971
Bi -1.301 1.134 2.093
Rb -2.847 -0.016 -1.760
Al 0.000 0.000 0.000
```

Output
Energy: -13.14 eV per cell

# 5
# PmHoPa

A relaxed structure of PmHoPa (PBE, the Alexandria database).

```
3
Lattice="3.441 0.000 0.000 -1.721 2.980 0.000 0.000 0.000 8.629" Properties=species:S:1:pos:R:3 pbc="T T T"
Pa 0.000 0.000 0.023
Ho 1.721 0.993 2.736
Pm 0.000 1.987 5.869
```

Output
Relative energy among the computed polymorphs: 0 meV/atom

# 6
# TaSiNi2

A relaxed structure of TaSiNi2 (PBE, the Alexandria database).

```
4
Lattice="-3.095 2.018 -0.249 0.087 -0.323 -3.688 -2.085 -3.170 0.228" Properties=species:S:1:pos:R:3 pbc="T T T"
Ni 0.000 0.000 0.000
Ni -1.504 0.848 -1.969
Si -2.590 -0.576 -0.011
Ta -0.999 -1.746 -1.730
```

Output
Energy relative to the elements, uncorrected: -0.33 eV/atom

# 7
# GaSBr3

A relaxed structure of GaSBr3 (PBE, the Alexandria database).

```
5
Lattice="5.234 0.000 0.000 0.000 5.234 0.000 0.000 0.000 5.234" Properties=species:S:1:pos:R:3 pbc="T T T"
S 2.617 2.617 2.617
Ga 0.000 0.000 0.000
Br 0.000 2.617 0.000
Br 0.000 0.000 2.617
Br 2.617 0.000 0.000
```

Output
Energy relative to the elements, uncorrected: 0.18 eV/atom
Relative energy among the computed polymorphs: 195 meV/atom

# 8
# PuCdGe

A relaxed structure of PuCdGe (PBE, the Alexandria database).

```
6
Lattice="-2.570 4.440 -0.809 -2.199 -0.961 1.713 2.818 3.066 7.875" Properties=species:S:1:pos:R:3 pbc="T T T"
Ge -2.530 3.299 1.139
Ge 0.579 3.246 7.639
Cd -1.298 4.415 3.347
Cd -0.653 2.131 5.432
Pu 0.189 5.761 6.012
Pu -2.141 0.784 2.766
```

Output
Energy: -41.00 eV per cell

# 9
# SrMg2Se

A relaxed structure of SrMg2Se (PBE, the Alexandria database).

```
4
Lattice="-1.018 -4.237 0.035 3.461 -0.852 -2.508 3.464 -0.791 5.050" Properties=species:S:1:pos:R:3 pbc="T T T"
Mg 0.000 0.000 0.000
Mg 1.221 -2.545 -1.236
Se 1.223 -2.514 2.542
Sr 3.462 -0.822 1.271
```

Output
Energy relative to the elements, uncorrected: -0.60 eV/atom

# 10
# K2Rb4HgAu

A relaxed structure of K2Rb4HgAu (PBE, the Alexandria database).

```
8
Lattice="4.807 0.000 0.000 0.000 12.207 -1.634 0.000 2.839 8.327" Properties=species:S:1:pos:R:3 pbc="T T T"
K 0.000 2.839 8.327
K 2.404 1.419 4.163
Rb 0.000 10.486 5.199
Rb 4.807 4.559 1.493
Rb 2.404 9.011 1.338
Rb 2.404 6.035 5.354
Hg 2.404 8.942 7.509
Au 0.000 7.523 3.346
```

Output
Energy: -10.38 eV per cell

# 11
# BaGd2Ga

A relaxed structure of BaGd2Ga (PBE, the Alexandria database).

```
4
Lattice="-3.465 1.117 -0.745 -1.014 -0.828 3.478 2.326 9.116 2.850" Properties=species:S:1:pos:R:3 pbc="T T T"
Gd 1.933 7.577 2.369
Gd 0.393 1.539 0.481
Ba -1.077 4.702 2.791
Ga -2.240 0.144 1.366
```

Output
Relative energy among the computed polymorphs: 0 meV/atom

# 12
# Ba5Sr2Li2Mg

A relaxed structure of Ba5Sr2Li2Mg (PBE, the Alexandria database).

```
20
Lattice="4.540 0.000 0.000 0.000 14.870 0.000 0.000 0.000 14.870" Properties=species:S:1:pos:R:3 pbc="T T T"
Ba 2.270 2.897 0.755
Ba 2.270 11.973 14.115
Ba 2.270 0.755 11.973
Ba 2.270 10.332 6.680
Ba 2.270 14.115 2.897
Ba 2.270 4.538 8.190
Ba 2.270 8.190 10.332
Ba 2.270 6.680 4.538
Ba 2.270 7.435 0.000
Ba 2.270 0.000 7.435
Sr 0.000 10.160 2.725
Sr 0.000 4.710 12.145
Sr 0.000 2.725 4.710
Sr 0.000 12.145 10.160
Li 0.000 1.995 9.431
Li 0.000 12.875 5.440
Li 0.000 9.431 12.875
Li 0.000 5.440 1.995
Mg 0.000 0.000 0.000
Mg 0.000 7.435 7.435
```

Output
Energy: -36.11 eV per cell